Material: Cs2MgS
Method: DFT, PBE
State: optimized geometry

Cell and atoms, written as CIF:
```
data_Cs2MgS
_chemical_formula_sum 'Cs2 Mg1 S1'
_cell_length_a 6.131
_cell_length_b 6.131
_cell_length_c 6.131
_cell_angle_alpha 60.00
_cell_angle_beta 60.00
_cell_angle_gamma 60.00
_symmetry_space_group_name_H-M 'P 1'
_symmetry_Int_Tables_number 1
loop_
_symmetry_equiv_pos_as_xyz
'x,y,z'
loop_
_atom_site_label
_atom_site_type_symbol
_atom_site_fract_x
_atom_site_fract_y
_atom_site_fract_z
Cs1 Cs 0.250 0.250 0.250
Cs2 Cs 0.750 0.750 0.750
S1 S 0.500 0.500 0.500
Mg1 Mg 0.000 0.000 0.000
```

Properties
For the total energy, the calculation gives -2.20 eV/atom. Its density of states at the Fermi level is 0.0000 states/eV per atom.

Material: CsMgS2
Method: DFT, PBE
State: optimized geometry

Cell and atoms, written as CIF:
```
data_CsMgS2
_chemical_formula_sum 'Cs1 Mg1 S2'
_cell_length_a 8.930
_cell_length_b 8.930
_cell_length_c 8.930
_cell_angle_alpha 34.08
_cell_angle_beta 34.08
_cell_angle_gamma 34.08
_symmetry_space_group_name_H-M 'P 1'
_symmetry_Int_Tables_number 1
loop_
_symmetry_equiv_pos_as_xyz
'x,y,z'
loop_
_atom_site_label
_atom_site_type_symbol
_atom_site_fract_x
_atom_site_fract_y
_atom_site_fract_z
Cs1 Cs 0.500 0.500 0.500
S1 S 0.910 0.910 0.910
S2 S 0.090 0.090 0.090
Mg1 Mg 0.000 0.000 0.000
```

Properties
For the total energy, the calculation gives -3.13 eV/atom. Its density of states at the Fermi level is 2.2652 states/eV per atom.

Material: CsMgSbS3
Method: DFT, PBE
State: optimized geometry

Cell and atoms, written as CIF:
```
data_CsMgSbS3
_chemical_formula_sum 'Cs2 Mg2 Sb2 S6'
_cell_length_a 4.121
_cell_length_b 9.697
_cell_length_c 10.125
_cell_angle_alpha 106.90
_cell_angle_beta 90.00
_cell_angle_gamma 90.00
_symmetry_space_group_name_H-M 'P 1'
_symmetry_Int_Tables_number 1
loop_
_symmetry_equiv_pos_as_xyz
'x,y,z'
loop_
_atom_site_label
_atom_site_type_symbol
_atom_site_fract_x
_atom_site_fract_y
_atom_site_fract_z
Cs1 Cs 0.250 0.187 0.222
Cs2 Cs 0.750 0.813 0.778
Mg1 Mg 0.250 0.098 0.603
Mg2 Mg 0.750 0.902 0.397
Sb1 Sb 0.250 0.650 0.132
Sb2 Sb 0.750 0.350 0.868
S1 S 0.750 0.840 0.141
S2 S 0.250 0.160 0.859
S3 S 0.250 0.831 0.492
S4 S 0.750 0.169 0.508
S5 S 0.750 0.438 0.123
S6 S 0.250 0.562 0.877
```

Properties
For the total energy, the calculation gives -4.09 eV/atom. Its density of states at the Fermi level is 0.0000 states/eV per atom.